1.
Entry from the Alexandria database: a relaxed Nd2Sm2Ho4Th crystal (PBE-GGA).

a = 3.622 Å, b = 9.587 Å, c = 9.607 Å
α = 115.47°, β = 90.00°, γ = 100.89°
Fractional positions:
Nd 0.337 0.673 0.995
Nd 0.663 0.327 0.005
Sm 0.853 0.706 0.337
Sm 0.147 0.294 0.663
Ho 0.816 0.633 0.665
Ho 0.184 0.367 0.335
Ho 0.519 0.037 0.328
Ho 0.481 0.963 0.672
Th 0.000 0.000 0.000

Values from the calculation:
Space group: C2/m, No. 12
ΔH_f (0 K) in eV per atom: 0.0024



2.
Entry from the Alexandria database: a relaxed CsLi2Th2S6 crystal (PBE-GGA).

a = 7.540 Å, b = 9.120 Å, c = 7.217 Å
α = 126.58°, β = 103.73°, γ = 55.55°
Fractional positions:
Cs 0.500 0.000 0.500
Li 0.134 0.635 0.635
Li 0.866 0.365 0.365
Th 0.834 0.334 0.834
Th 0.166 0.666 0.166
S 0.400 0.662 0.915
S 0.021 0.479 0.236
S 0.162 0.900 0.647
S 0.979 0.521 0.764
S 0.838 0.100 0.353
S 0.600 0.338 0.085

Values from the calculation:
Total DFT energy (no corrections) in eV for the cell shown: -60.7
Space group: P-1, No. 2



3.
Entry from the Alexandria database: a relaxed CoCl crystal (PBE-GGA).

a = 9.204 Å, b = 9.204 Å, c = 3.498 Å
α = 90.00°, β = 90.00°, γ = 120.00°
Site moments in Bohr magnetons follow the coordinates.
Fractional positions:
Co 0.001 0.421 0.250  1.90
Co 0.580 0.001 0.750  1.90
Co 0.579 0.580 0.250  1.90
Co 0.999 0.579 0.750  1.90
Co 0.420 0.999 0.250  1.90
Co 0.421 0.420 0.750  1.90
Cl 0.756 0.159 0.250  0.09
Cl 0.597 0.756 0.750  0.09
Cl 0.841 0.597 0.250  0.09
Cl 0.244 0.841 0.750  0.09
Cl 0.403 0.244 0.250  0.09
Cl 0.159 0.403 0.750  0.09

Values from the calculation:
Total DFT energy (no corrections) in eV for the cell shown: -53.9
Space group: P6_3/m, No. 176



4.
Entry from the Alexandria database: a relaxed HfRu3Rh crystal (PBE-GGA).

a = 4.692 Å, b = 4.692 Å, c = 4.692 Å
α = 90.00°, β = 90.00°, γ = 90.00°
Site moments in Bohr magnetons follow the coordinates.
Fractional positions:
Rh 0.500 0.500 0.500  1.18
Hf 0.000 0.000 0.000  -0.15
Ru 0.000 0.500 0.000  1.27
Ru 0.000 0.000 0.500  1.21
Ru 0.500 0.000 0.000  1.27

Values from the calculation:
Offset from the most stable computed form in meV/atom: 411
Space group: Pm-3m, No. 221
ΔH_f (0 K) in eV per atom: 1.7815



5.
Entry from the Alexandria database: a relaxed HgAsIr2 crystal (PBE-GGA).

a = 8.693 Å, b = 8.693 Å, c = 8.693 Å
α = 19.88°, β = 19.88°, γ = 19.88°
Fractional positions:
As 0.250 0.250 0.250
Ir 0.989 0.989 0.989
Ir 0.511 0.511 0.511
Hg 0.750 0.750 0.750

Values from the calculation:
Offset from the most stable computed form in meV/atom: 0
Space group: R-3m, No. 166
ΔH_f (0 K) in eV per atom: 0.2304



6.
Entry from the Alexandria database: a relaxed Ti2V2In crystal (PBE-GGA).

a = 7.117 Å, b = 7.117 Å, c = 3.316 Å
α = 90.00°, β = 90.00°, γ = 90.00°
Fractional positions:
Ti 0.370 0.870 0.000
Ti 0.870 0.630 0.000
Ti 0.630 0.130 0.000
Ti 0.130 0.370 0.000
In 0.000 0.000 0.000
In 0.500 0.500 0.000
V 0.167 0.667 0.500
V 0.667 0.833 0.500
V 0.833 0.333 0.500
V 0.333 0.167 0.500

Values from the calculation:
Offset from the most stable computed form in meV/atom: 134
Space group: P4/mbm, No. 127
ΔH_f (0 K) in eV per atom: 0.2013



7.
Entry from the Alexandria database: a relaxed TlCu crystal (PBE-GGA).

a = 5.446 Å, b = 5.446 Å, c = 5.783 Å
α = 90.00°, β = 90.00°, γ = 90.00°
Fractional positions:
Tl 0.202 0.202 0.000
Tl 0.702 0.298 0.500
Tl 0.298 0.702 0.500
Tl 0.798 0.798 0.000
Cu 0.313 0.687 0.000
Cu 0.813 0.813 0.500
Cu 0.187 0.187 0.500
Cu 0.687 0.313 0.000

Values from the calculation:
Space group: P4_2/mnm, No. 136
ΔH_f (0 K) in eV per atom: 0.3700



8.
Entry from the Alexandria database: a relaxed Al2TlPt crystal (PBE-GGA).

a = 4.747 Å, b = 4.747 Å, c = 4.747 Å
α = 60.00°, β = 60.00°, γ = 60.00°
Fractional positions:
Tl 0.750 0.750 0.750
Al 0.000 0.000 0.000
Al 0.250 0.250 0.250
Pt 0.500 0.500 0.500

Values from the calculation:
Offset from the most stable computed form in meV/atom: 409
Space group: F-43m, No. 216
ΔH_f (0 K) in eV per atom: 0.0694



9.
Entry from the Alexandria database: a relaxed PrGd2Ga crystal (PBE-GGA).

a = 3.536 Å, b = 3.536 Å, c = 12.064 Å
α = 81.57°, β = 81.57°, γ = 60.00°
Site moments in Bohr magnetons follow the coordinates.
Fractional positions:
Pr 0.500 0.500 0.500  -0.09
Gd 0.085 0.085 0.746  7.23
Gd 0.915 0.915 0.254  7.23
Ga 0.000 0.000 0.000  0.02

Values from the calculation:
Offset from the most stable computed form in meV/atom: 444
Space group: R-3m, No. 166
ΔH_f (0 K) in eV per atom: 0.1605



10.
Entry from the Alexandria database: a relaxed YZnOs2Cl crystal (PBE-GGA).

a = 4.574 Å, b = 5.451 Å, c = 4.574 Å
α = 90.00°, β = 90.00°, γ = 90.00°
Site moments in Bohr magnetons follow the coordinates.
Fractional positions:
Y 0.000 0.500 0.000  -0.10
Zn 0.000 0.000 0.000  -0.01
Os 0.000 0.000 0.500  1.24
Os 0.500 0.000 0.000  1.08
Cl 0.500 0.500 0.500  0.11

Values from the calculation:
Total DFT energy (no corrections) in eV for the cell shown: -25.9
Space group: P4/mmm, No. 123



11.
Entry from the Alexandria database: a relaxed Hg2MoAu crystal (PBE-GGA).

a = 5.896 Å, b = 5.896 Å, c = 5.896 Å
α = 151.29°, β = 126.72°, γ = 61.65°
Site moments in Bohr magnetons follow the coordinates.
Fractional positions:
Au 0.750 0.250 0.500  0.02
Hg 0.003 0.003 0.000  0.00
Hg 0.497 0.497 0.000  0.00
Mo 0.250 0.750 0.500  0.85

Values from the calculation:
Offset from the most stable computed form in meV/atom: 157
Space group: Immm, No. 71
ΔH_f (0 K) in eV per atom: 0.5146



12.
Entry from the Alexandria database: a relaxed GeBiSb2Te crystal (PBE-GGA).

a = 5.764 Å, b = 5.764 Å, c = 5.933 Å
α = 90.00°, β = 90.00°, γ = 90.00°
Fractional positions:
Sb 0.000 0.500 0.000
Sb 0.500 0.000 0.000
Ge 0.500 0.500 0.500
Te 0.000 0.000 0.500
Bi 0.000 0.000 0.000

Values from the calculation:
Offset from the most stable computed form in meV/atom: 505
Space group: P4/mmm, No. 123



13.
Entry from the Alexandria database: a relaxed MgIrBr2 crystal (PBE-GGA).

a = 4.892 Å, b = 4.892 Å, c = 4.892 Å
α = 60.00°, β = 60.00°, γ = 60.00°
Site moments in Bohr magnetons follow the coordinates.
Fractional positions:
Br 0.000 0.000 0.000  0.17
Br 0.250 0.250 0.250  0.08
Ir 0.500 0.500 0.500  0.95
Mg 0.750 0.750 0.750  -0.01

Values from the calculation:
Offset from the most stable computed form in meV/atom: 899
Space group: F-43m, No. 216



14.
Entry from the Alexandria database: a relaxed PrPuCdBi crystal (PBE-GGA).

a = 5.514 Å, b = 5.514 Å, c = 5.514 Å
α = 60.00°, β = 60.00°, γ = 60.00°
Site moments in Bohr magnetons follow the coordinates.
Fractional positions:
Pr 0.000 0.000 0.000  0.33
Cd 0.750 0.750 0.750  0.04
Bi 0.250 0.250 0.250  -0.05
Pu 0.500 0.500 0.500  5.67

Values from the calculation:
Space group: F-43m, No. 216
ΔH_f (0 K) in eV per atom: -0.3076



15.
Entry from the Alexandria database: a relaxed Sm15Er4Sc crystal (PBE-GGA).

a = 5.075 Å, b = 5.075 Å, c = 25.292 Å
α = 90.00°, β = 90.00°, γ = 90.00°
Fractional positions:
Sm 0.500 0.500 0.000
Sm 0.500 0.500 0.198
Sm 0.500 0.500 0.399
Sm 0.500 0.500 0.601
Sm 0.500 0.500 0.802
Sm 0.500 0.000 0.097
Sm 0.500 0.000 0.299
Sm 0.500 0.000 0.500
Sm 0.500 0.000 0.701
Sm 0.500 0.000 0.903
Sm 0.000 0.500 0.097
Sm 0.000 0.500 0.299
Sm 0.000 0.500 0.500
Sm 0.000 0.500 0.701
Sm 0.000 0.500 0.903
Er 0.000 0.000 0.198
Er 0.000 0.000 0.399
Er 0.000 0.000 0.601
Er 0.000 0.000 0.802
Sc 0.000 0.000 0.000

Values from the calculation:
Space group: P4/mmm, No. 123
ΔH_f (0 K) in eV per atom: 0.0192



16.
Entry from the Alexandria database: a relaxed DyHfCr2S6 crystal (PBE-GGA).

a = 6.377 Å, b = 6.377 Å, c = 6.868 Å
α = 62.33°, β = 62.33°, γ = 60.01°
Site moments in Bohr magnetons follow the coordinates.
Fractional positions:
Dy 0.813 0.813 0.561  0.05
Hf 0.321 0.321 0.038  0.11
Cr 0.510 0.510 0.469  3.27
Cr 0.006 0.006 0.982  3.12
S 0.612 0.245 0.239  -0.04
S 0.245 0.905 0.239  -0.04
S 0.905 0.612 0.239  -0.04
S 0.370 0.740 0.750  -0.04
S 0.740 0.140 0.750  -0.04
S 0.140 0.370 0.750  -0.04

Values from the calculation:
Total DFT energy (no corrections) in eV for the cell shown: -70.5
Space group: R3, No. 146



17.
Entry from the Alexandria database: a relaxed Tb2Y3In3 crystal (PBE-GGA).

a = 3.779 Å, b = 5.333 Å, c = 11.647 Å
α = 103.24°, β = 99.34°, γ = 90.00°
Fractional positions:
Tb 0.735 0.235 0.470
Tb 0.265 0.765 0.530
Y 0.624 0.624 0.247
Y 0.376 0.376 0.753
Y 0.500 0.000 0.000
In 0.119 0.119 0.238
In 0.000 0.500 0.000
In 0.881 0.881 0.762

Values from the calculation:
Space group: Immm, No. 71
ΔH_f (0 K) in eV per atom: -0.3850



18.
Entry from the Alexandria database: a relaxed Ta2HgSe crystal (PBE-GGA).

a = 4.801 Å, b = 4.801 Å, c = 4.801 Å
α = 60.00°, β = 60.00°, γ = 60.00°
Fractional positions:
Hg 0.500 0.500 0.500
Se 0.750 0.750 0.750
Ta 0.000 0.000 0.000
Ta 0.250 0.250 0.250

Values from the calculation:
Offset from the most stable computed form in meV/atom: 765
Space group: F-43m, No. 216



19.
Entry from the Alexandria database: a relaxed Cs3PmPu2S6 crystal (PBE-GGA).

a = 7.252 Å, b = 7.252 Å, c = 8.409 Å
α = 98.26°, β = 98.26°, γ = 120.00°
Site moments in Bohr magnetons follow the coordinates.
Fractional positions:
Cs 0.165 0.835 0.500  0.00
Cs 0.835 0.165 0.500  0.00
Cs 0.500 0.500 0.500  0.00
Pm 0.000 0.000 0.000  0.04
Pu 0.333 0.667 0.000  5.05
Pu 0.667 0.333 0.000  5.05
S 0.939 0.601 0.818  -0.07
S 0.722 0.722 0.181  -0.07
S 0.061 0.399 0.182  -0.07
S 0.601 0.939 0.818  -0.07
S 0.278 0.278 0.819  -0.07
S 0.399 0.061 0.182  -0.07

Values from the calculation:
Total DFT energy (no corrections) in eV for the cell shown: -80.2
Space group: C2/m, No. 12



20.
Entry from the Alexandria database: a relaxed Ac2HgAu crystal (PBE-GGA).

a = 3.969 Å, b = 3.969 Å, c = 8.004 Å
α = 90.00°, β = 90.00°, γ = 90.00°
Fractional positions:
Ac 0.000 0.000 0.763
Ac 0.000 0.000 0.237
Au 0.500 0.500 0.000
Hg 0.500 0.500 0.500

Values from the calculation:
Offset from the most stable computed form in meV/atom: 0
Space group: P4/mmm, No. 123
ΔH_f (0 K) in eV per atom: -0.6333



21.
Entry from the Alexandria database: a relaxed Sr2CeCd6 crystal (PBE-GGA).

a = 3.607 Å, b = 8.915 Å, c = 8.915 Å
α = 60.01°, β = 90.01°, γ = 90.01°
Site moments in Bohr magnetons follow the coordinates.
Fractional positions:
Sr 0.000 0.333 0.333  0.00
Sr 0.000 0.667 0.667  0.00
Ce 0.000 0.000 0.000  0.96
Cd 0.499 0.669 0.000  0.00
Cd 0.501 0.000 0.331  0.00
Cd 0.501 0.331 0.000  0.00
Cd 0.500 0.669 0.331  0.00
Cd 0.499 0.000 0.669  0.00
Cd 0.500 0.331 0.669  0.00

Values from the calculation:
Space group: P6/mmm, No. 191
ΔH_f (0 K) in eV per atom: -0.2824



22.
Entry from the Alexandria database: a relaxed BaNaYTe3 crystal (PBE-GGA).

a = 4.658 Å, b = 9.313 Å, c = 10.314 Å
α = 106.31°, β = 90.00°, γ = 90.00°
Fractional positions:
Ba 0.750 0.786 0.752
Ba 0.250 0.214 0.248
Na 0.250 0.089 0.588
Na 0.750 0.911 0.412
Y 0.250 0.677 0.156
Y 0.750 0.323 0.844
Te 0.250 0.739 0.473
Te 0.750 0.895 0.122
Te 0.750 0.452 0.155
Te 0.750 0.261 0.527
Te 0.250 0.548 0.845
Te 0.250 0.105 0.878

Values from the calculation:
Total DFT energy (no corrections) in eV for the cell shown: -54.8
Space group: P2_1/m, No. 11



23.
Entry from the Alexandria database: a relaxed MnInNi crystal (PBE-GGA).

a = 5.031 Å, b = 5.031 Å, c = 5.031 Å
α = 142.64°, β = 142.64°, γ = 53.86°
Site moments in Bohr magnetons follow the coordinates.
Fractional positions:
In 0.005 0.005 0.000  -0.04
Mn 0.315 0.315 0.000  3.63
Ni 0.680 0.680 0.000  0.55

Values from the calculation:
Space group: I4mm, No. 107
ΔH_f (0 K) in eV per atom: 0.0499



24.
Entry from the Alexandria database: a relaxed LaZn3Ni crystal (PBE-GGA).

a = 6.051 Å, b = 6.053 Å, c = 5.575 Å
α = 90.00°, β = 90.00°, γ = 66.29°
Fractional positions:
La 0.042 0.245 0.052
La 0.518 0.720 0.552
Zn 0.172 0.374 0.552
Zn 0.389 0.591 0.052
Zn 0.569 0.193 0.802
Zn 0.569 0.193 0.302
Zn 0.991 0.772 0.302
Zn 0.991 0.772 0.802
Ni 0.930 0.133 0.552
Ni 0.631 0.833 0.052

Values from the calculation:
Offset from the most stable computed form in meV/atom: 0
Space group: Cmcm, No. 63
ΔH_f (0 K) in eV per atom: -0.3185



25.
Entry from the Alexandria database: a relaxed NpSbHAu crystal (PBE-GGA).

a = 4.272 Å, b = 4.272 Å, c = 7.942 Å
α = 90.00°, β = 90.00°, γ = 90.00°
Site moments in Bohr magnetons follow the coordinates.
Fractional positions:
Np 0.000 0.500 0.872  3.90
Np 0.500 0.000 0.128  3.90
Sb 0.500 0.000 0.734  -0.08
Sb 0.000 0.500 0.266  -0.08
H 0.500 0.500 0.000  -0.03
H 0.000 0.000 0.000  -0.03
Au 0.000 0.000 0.500  -0.01
Au 0.500 0.500 0.500  -0.01

Values from the calculation:
Total DFT energy (no corrections) in eV for the cell shown: -49.3
Space group: P4/nmm, No. 129



Number 1: spin magnetization 0.00 μB/f.u., ρ 8.351 g/cm³. Number 2: spin magnetization 0.00 μB/f.u., ρ 4.105 g/cm³. Number 3: spin magnetization 2.00 μB/f.u., ρ 3.665 g/cm³. Number 4: spin magnetization 4.80 μB/f.u., ρ 9.400 g/cm³. Number 5: spin magnetization 0.00 μB/f.u., ρ 16.495 g/cm³. Number 6: spin magnetization 0.00 μB/f.u., ρ 6.177 g/cm³. Number 7: spin magnetization 0.00 μB/f.u., ρ 10.374 g/cm³. Number 8: spin magnetization 0.00 μB/f.u., ρ 9.956 g/cm³. Number 9: spin magnetization 14.90 μB/f.u., ρ 6.774 g/cm³. Number 10: spin magnetization 2.49 μB/f.u., ρ 8.303 g/cm³. Number 11: spin magnetization 0.99 μB/f.u., ρ 14.722 g/cm³. Number 12: spin magnetization 0.00 μB/f.u., ρ 5.498 g/cm³. Number 13: spin magnetization 1.24 μB/f.u., ρ 7.548 g/cm³. Number 14: spin magnetization 6.91 μB/f.u., ρ 9.895 g/cm³. Number 15: spin magnetization 0.00 μB/f.u., ρ 7.568 g/cm³. Number 16: spin magnetization 7.00 μB/f.u., ρ 5.184 g/cm³. Number 17: spin magnetization 0.00 μB/f.u., ρ 6.847 g/cm³. Number 18: spin magnetization 0.00 μB/f.u., ρ 13.616 g/cm³. Number 19: spin magnetization 10.00 μB/f.u., ρ 5.541 g/cm³. Number 20: spin magnetization 0.00 μB/f.u., ρ 11.216 g/cm³. Number 21: spin magnetization 1.23 μB/f.u., ρ 6.619 g/cm³. Number 22: spin magnetization 0.00 μB/f.u., ρ 4.888 g/cm³. Number 23: spin magnetization 4.31 μB/f.u., ρ 8.144 g/cm³. Number 24: spin magnetization 0.00 μB/f.u., ρ 6.996 g/cm³. Number 25: spin magnetization 4.03 μB/f.u., ρ 12.757 g/cm³.